Here is crystalline MoWS2Cl at its relaxed geometry from the Alexandria database. Energies are from PBE-GGA.

Geometry as CIF:
```
data_MoWS2Cl
_chemical_formula_sum 'Mo1 W1 S2 Cl1'
_cell_length_a 4.687
_cell_length_b 4.687
_cell_length_c 4.861
_cell_angle_alpha 90.00
_cell_angle_beta 90.00
_cell_angle_gamma 90.00
_space_group_name_H-M_alt 'P 1'
_space_group_IT_number 1
loop_
_space_group_symop_operation_xyz
'x,y,z'
loop_
_atom_site_label
_atom_site_fract_x
_atom_site_fract_y
_atom_site_fract_z
Mo1 0.000 0.000 0.000
W1 0.500 0.500 0.500
S1 0.000 0.500 0.500
S2 0.500 0.000 0.500
Cl1 0.500 0.500 0.000
```

formation energy without anion corrections = 0.686 eV/atom
ΔE to the lowest computed polymorph = 0 meV/atom
magnetic moment = 0.9764 μB per atom
D(E_F) = 3.041 states/eV/cell